[1]
# CaCdB3 PBE relaxed
data_CaCdB3
_cell_length_a 4.736
_cell_length_b 4.736
_cell_length_c 4.736
_cell_angle_alpha 90.00
_cell_angle_beta 90.00
_cell_angle_gamma 90.00
_symmetry_space_group_name_H-M 'P m -3 m'
_symmetry_Int_Tables_number 221
_symmetry_space_group_name_Hall '-P 4 2 3'
loop_
_atom_site_label
_atom_site_fract_x
_atom_site_fract_y
_atom_site_fract_z
Ca1 0.000 0.000 0.000
Cd1 0.500 0.500 0.500
B1 0.000 0.000 0.500
# **ΔH_f (0 K)**: 2496 meV per atom
# **Crystal system**: cubic
# **E above lowest polymorph**: 4.01 eV per formula unit

[2]
# CaCd2CoB PBE relaxed
data_CaCd2CoB
_cell_length_a 4.989
_cell_length_b 4.989
_cell_length_c 3.925
_cell_angle_alpha 90.00
_cell_angle_beta 90.00
_cell_angle_gamma 90.00
_symmetry_space_group_name_H-M 'P 4/m m m'
_symmetry_Int_Tables_number 123
_symmetry_space_group_name_Hall '-P 4 2'
loop_
_atom_site_label
_atom_site_fract_x
_atom_site_fract_y
_atom_site_fract_z
Ca1 0.000 0.000 0.000
Cd1 0.000 0.500 0.500
Co1 0.500 0.500 0.500
B1 0.500 0.500 0.000
# **ΔH_f (0 K)**: 216 meV per atom
# **Crystal system**: tetragonal

[3]
# CaCdBF2 PBE relaxed
data_CaCdBF2
_cell_length_a 4.208
_cell_length_b 4.208
_cell_length_c 6.075
_cell_angle_alpha 90.00
_cell_angle_beta 90.00
_cell_angle_gamma 90.00
_symmetry_space_group_name_H-M 'P 4/m m m'
_symmetry_Int_Tables_number 123
_symmetry_space_group_name_Hall '-P 4 2'
loop_
_atom_site_label
_atom_site_fract_x
_atom_site_fract_y
_atom_site_fract_z
Ca1 0.000 0.000 0.000
Cd1 0.500 0.500 0.500
B1 0.000 0.000 0.500
F1 0.000 0.500 0.000
# **Crystal system**: tetragonal
# **Uncorrected formation energy**: -1.13 eV per atom

[4]
# CaHf2CdB PBE relaxed
data_CaHf2CdB
_cell_length_a 4.688
_cell_length_b 4.688
_cell_length_c 4.895
_cell_angle_alpha 90.00
_cell_angle_beta 90.00
_cell_angle_gamma 90.00
_symmetry_space_group_name_H-M 'P 4/m m m'
_symmetry_Int_Tables_number 123
_symmetry_space_group_name_Hall '-P 4 2'
loop_
_atom_site_label
_atom_site_fract_x
_atom_site_fract_y
_atom_site_fract_z
Ca1 0.000 0.000 0.000
Hf1 0.000 0.500 0.500
Cd1 0.500 0.500 0.000
B1 0.500 0.500 0.500
# **ΔH_f (0 K)**: 230 meV per atom
# **Crystal system**: tetragonal

[5]
# CaMgCdB2 PBE relaxed
data_CaMgCdB2
_cell_length_a 4.493
_cell_length_b 4.493
_cell_length_c 5.488
_cell_angle_alpha 90.00
_cell_angle_beta 90.00
_cell_angle_gamma 90.00
_symmetry_space_group_name_H-M 'P 4/m m m'
_symmetry_Int_Tables_number 123
_symmetry_space_group_name_Hall '-P 4 2'
loop_
_atom_site_label
_atom_site_fract_x
_atom_site_fract_y
_atom_site_fract_z
Ca1 0.000 0.000 0.000
Mg1 0.500 0.500 0.000
Cd1 0.000 0.000 0.500
B1 0.000 0.500 0.500
# **ΔH_f (0 K)**: 1439 meV per atom
# **Crystal system**: tetragonal

[6]
# Ca2CdB3Pt12 PBE relaxed
data_Ca2CdB3Pt12
_cell_length_a 8.0818
_cell_length_b 8.0818
_cell_length_c 16.7690
_cell_angle_alpha 90.00
_cell_angle_beta 90.00
_cell_angle_gamma 120.00
_symmetry_space_group_name_H-M 'R -3 m'
_symmetry_Int_Tables_number 166
_symmetry_space_group_name_Hall '-R 3 2"'
loop_
_atom_site_label
_atom_site_fract_x
_atom_site_fract_y
_atom_site_fract_z
Ca1 0.0000 0.0000 0.0963
Cd1 0.0000 0.0000 0.5000
B1 0.0000 0.5000 0.0000
Pt1 0.0236 0.5118 0.8755
Pt2 0.0611 0.5306 0.3495
# **ΔH_f (0 K)**: -240 meV per atom
# **Crystal system**: trigonal

[7]
# CaCdBRh2 PBE relaxed
data_CaCdBRh2
_cell_length_a 4.278
_cell_length_b 4.278
_cell_length_c 4.465
_cell_angle_alpha 90.00
_cell_angle_beta 90.00
_cell_angle_gamma 90.00
_symmetry_space_group_name_H-M 'P 4/m m m'
_symmetry_Int_Tables_number 123
_symmetry_space_group_name_Hall '-P 4 2'
loop_
_atom_site_label
_atom_site_fract_x
_atom_site_fract_y
_atom_site_fract_z
Ca1 0.000 0.000 0.000
Cd1 0.500 0.500 0.000
B1 0.500 0.500 0.500
Rh1 0.000 0.500 0.500
# **ΔH_f (0 K)**: -272 meV per atom
# **Crystal system**: tetragonal

[8]
# Ca3Cd2BRh3 PBE relaxed
data_Ca3Cd2BRh3
_cell_length_a 7.7368
_cell_length_b 7.7368
_cell_length_c 3.3740
_cell_angle_alpha 90.00
_cell_angle_beta 90.00
_cell_angle_gamma 120.00
_symmetry_space_group_name_H-M 'P -6 2 m'
_symmetry_Int_Tables_number 189
_symmetry_space_group_name_Hall 'P -6 -2'
loop_
_atom_site_label
_atom_site_fract_x
_atom_site_fract_y
_atom_site_fract_z
Ca1 0.0000 0.3512 0.0000
Cd1 0.3333 0.6667 0.5000
B1 0.0000 0.0000 0.0000
Rh1 0.0000 0.7911 0.5000
# **ΔH_f (0 K)**: -267 meV per atom
# **Crystal system**: hexagonal

[9]
# CaCdBSb2 PBE relaxed
data_CaCdBSb2
_cell_length_a 4.837
_cell_length_b 4.837
_cell_length_c 5.173
_cell_angle_alpha 90.00
_cell_angle_beta 90.00
_cell_angle_gamma 90.00
_symmetry_space_group_name_H-M 'P 4/m m m'
_symmetry_Int_Tables_number 123
_symmetry_space_group_name_Hall '-P 4 2'
loop_
_atom_site_label
_atom_site_fract_x
_atom_site_fract_y
_atom_site_fract_z
Ca1 0.000 0.000 0.000
Cd1 0.500 0.500 0.000
B1 0.000 0.000 0.500
Sb1 0.000 0.500 0.500
# **Crystal system**: tetragonal
# **Uncorrected formation energy**: 0.24 eV per atom

[10]
# Sr2CaCdB PBE relaxed
data_Sr2CaCdB
_cell_length_a 6.202
_cell_length_b 6.202
_cell_length_c 5.835
_cell_angle_alpha 90.00
_cell_angle_beta 90.00
_cell_angle_gamma 90.00
_symmetry_space_group_name_H-M 'P 4/m m m'
_symmetry_Int_Tables_number 123
_symmetry_space_group_name_Hall '-P 4 2'
loop_
_atom_site_label
_atom_site_fract_x
_atom_site_fract_y
_atom_site_fract_z
Sr1 0.000 0.500 0.000
Ca1 0.000 0.000 0.500
Cd1 0.000 0.000 0.000
B1 0.500 0.500 0.500
# **ΔH_f (0 K)**: 987 meV per atom
# **Crystal system**: tetragonal

[11]
# Ca2CdBTe PBE relaxed
data_Ca2CdBTe
_cell_length_a 5.365
_cell_length_b 5.365
_cell_length_c 4.378
_cell_angle_alpha 90.00
_cell_angle_beta 90.00
_cell_angle_gamma 90.00
_symmetry_space_group_name_H-M 'P 4/m m m'
_symmetry_Int_Tables_number 123
_symmetry_space_group_name_Hall '-P 4 2'
loop_
_atom_site_label
_atom_site_fract_x
_atom_site_fract_y
_atom_site_fract_z
Ca1 0.000 0.500 0.000
Cd1 0.000 0.000 0.500
B1 0.000 0.000 0.000
Te1 0.500 0.500 0.500
# **Crystal system**: tetragonal
# **Uncorrected formation energy**: -0.39 eV per atom

[12]
# CaCe3B2N6 PBE relaxed
data_CaCe3B2N6
_cell_length_a 5.5793
_cell_length_b 5.5793
_cell_length_c 6.1666
_cell_angle_alpha 90.00
_cell_angle_beta 90.00
_cell_angle_gamma 120.00
_symmetry_space_group_name_H-M 'P -3 m 1'
_symmetry_Int_Tables_number 164
_symmetry_space_group_name_Hall '-P 3 2"'
loop_
_atom_site_label
_atom_site_fract_x
_atom_site_fract_y
_atom_site_fract_z
Ca1 0.0000 0.0000 0.0000
Ce1 0.0000 0.0000 0.5000
Ce2 0.3333 0.6667 0.1740
B1 0.3333 0.6667 0.7360
N1 0.1836 0.3673 0.7578
# **Crystal system**: trigonal
# **Uncorrected formation energy**: -1.09 eV per atom

Number 1: E -0.1539 Ry/atom. Number 2: E -0.2431 Ry/atom. Number 3: E -0.2793 Ry/atom. Number 4: E -0.4167 Ry/atom. Number 5: E -0.1568 Ry/atom. Number 6: E -0.4155 Ry/atom. Number 7: E -0.3771 Ry/atom. Number 8: E -0.3182 Ry/atom. Number 9: E -0.2449 Ry/atom. Number 10: E -0.1179 Ry/atom. Number 11: E -0.2457 Ry/atom. Number 12: E -0.5894 Ry/atom.